# BaScSi PBE-GGA optimized geometry
# E_form (uncorrected) (kcal/mol of atoms): -4.5
# Mass density (g/cm³): 3.96
# Total DFT energy (no corrections) (eV per atom): -4.755
# M_tot (μB per atom): 0.286
data_BaScSi
_cell_length_a 6.657
_cell_length_b 6.657
_cell_length_c 3.806
_cell_angle_alpha 73.39
_cell_angle_beta 73.40
_cell_angle_gamma 33.22
_space_group_name_H-M_alt 'P 1'
_space_group_IT_number 1
loop_
_space_group_symop_operation_xyz
'x,y,z'
loop_
_atom_site_label
_atom_site_type_symbol
_atom_site_fract_x
_atom_site_fract_y
_atom_site_fract_z
_atom_site_occupancy
Ba1 Ba 0.006 0.006 0.994 1
Sc1 Sc 0.270 0.270 0.730 1
Si1 Si 0.724 0.724 0.276 1



# BaScSiSn2 PBE-GGA optimized geometry
# E_form (uncorrected) (kcal/mol of atoms): 28.0
# Mass density (g/cm³): 3.82
# Total DFT energy (no corrections) (eV per atom): -3.121
# M_tot (μB per atom): 0.000
data_BaScSiSn2
_cell_length_a 5.938
_cell_length_b 5.516
_cell_length_c 5.938
_cell_angle_alpha 90.00
_cell_angle_beta 90.00
_cell_angle_gamma 90.00
_space_group_name_H-M_alt 'P 1'
_space_group_IT_number 1
loop_
_space_group_symop_operation_xyz
'x,y,z'
loop_
_atom_site_label
_atom_site_type_symbol
_atom_site_fract_x
_atom_site_fract_y
_atom_site_fract_z
_atom_site_occupancy
Ba1 Ba 0.000 0.000 0.000 1
Si1 Si 0.000 0.500 0.000 1
Sn1 Sn 0.000 0.000 0.500 1
Sn2 Sn 0.500 0.000 0.000 1
Sc1 Sc 0.500 0.500 0.500 1